! PBE ReAg2TeF, relaxed; values from VASP
&SYSTEM
  ibrav = 0, nat = 5, ntyp = 4
/
ATOMIC_SPECIES
Re 186.21 Re.upf
Te 127.60 Te.upf
Ag 107.87 Ag.upf
F 19.00 F.upf
CELL_PARAMETERS angstrom
-3.3801 3.5482 2.0095
-3.8419 -3.4730 -0.3300
1.1192 -1.7026 4.8889
ATOMIC_POSITIONS crystal
Re 0.0000 0.5000 0.0000
Te 0.0000 0.0000 0.0000
Ag 0.0000 0.0000 0.5000
Ag 0.5000 0.0000 0.0000
F 0.5000 0.5000 0.5000
! - N(E_F) (states/eV/f.u.) = 2.45
! - crystal system = tetragonal

! PBE Ag2RhF8, relaxed; values from VASP
&SYSTEM
  ibrav = 0, nat = 11, ntyp = 3
/
ATOMIC_SPECIES
Rh 102.91 Rh.upf
Ag 107.87 Ag.upf
F 19.00 F.upf
CELL_PARAMETERS angstrom
4.4638 -0.1289 0.0830
-0.0111 5.9760 1.7189
-0.2713 -0.1429 6.2107
ATOMIC_POSITIONS crystal
Rh 0.0000 0.0000 0.0000
Ag 0.7644 0.6260 0.6260
Ag 0.2356 0.3740 0.3740
F 0.7852 0.9128 0.2730
F 0.2148 0.7270 0.0872
F 0.7156 0.8472 0.8472
F 0.2844 0.1528 0.1528
F 0.7852 0.2730 0.9128
F 0.2148 0.0872 0.7270
F 0.2625 0.6033 0.6033
F 0.7375 0.3967 0.3967
! - N(E_F) (states/eV/f.u.) = 8.65
! - crystal system = monoclinic

! PBE Ag3RhF8, relaxed; values from VASP
&SYSTEM
  ibrav = 0, nat = 12, ntyp = 3
/
ATOMIC_SPECIES
Ag 107.87 Ag.upf
Rh 102.91 Rh.upf
F 19.00 F.upf
CELL_PARAMETERS angstrom
-0.0169 -5.4527 0.6528
3.8448 -0.4778 -3.8919
1.9583 3.4048 5.3911
ATOMIC_POSITIONS crystal
Ag 0.7500 0.2500 0.5000
Ag 0.5000 0.5000 0.0000
Ag 0.2500 0.7500 0.5000
Rh 0.0000 0.0000 0.0000
F 0.3301 0.3301 0.2225
F 0.3301 0.8923 0.2225
F 0.1077 0.6699 0.7775
F 0.1077 0.1077 0.7775
F 0.8923 0.8923 0.2225
F 0.8923 0.3301 0.2225
F 0.6699 0.1077 0.7775
F 0.6699 0.6699 0.7775
! - excess energy over the best structure of this formula in the dataset (meV/atom) = 95
! - crystal system = tetragonal

! PBE AgRh2F, relaxed; values from VASP
&SYSTEM
  ibrav = 0, nat = 4, ntyp = 3
/
ATOMIC_SPECIES
Rh 102.91 Rh.upf
Ag 107.87 Ag.upf
F 19.00 F.upf
CELL_PARAMETERS angstrom
-0.7057 0.5628 4.3029
-0.5927 4.0440 1.6200
-3.9688 1.2339 1.4338
ATOMIC_POSITIONS crystal
Rh 0.2500 0.2500 0.2500
Rh 0.7500 0.7500 0.7500
Ag 0.5000 0.5000 0.5000
F 0.0000 0.0000 0.0000
! - excess energy over the best structure of this formula in the dataset (meV/atom) = 154
! - N(E_F) (states/eV/f.u.) = 4.30
! - crystal system = cubic

! PBE Ag3RhF, relaxed; values from VASP
&SYSTEM
  ibrav = 0, nat = 5, ntyp = 3
/
ATOMIC_SPECIES
Rh 102.91 Rh.upf
Ag 107.87 Ag.upf
F 19.00 F.upf
CELL_PARAMETERS angstrom
-0.3202 -4.3553 -1.0821
3.6628 -0.8805 2.4599
-2.5930 -0.7059 3.6084
ATOMIC_POSITIONS crystal
Rh 0.5000 0.5000 0.5000
Ag 0.0000 0.5000 0.0000
Ag 0.0000 0.0000 0.5000
Ag 0.5000 0.0000 0.0000
F 0.0000 0.0000 0.0000
! - excess energy over the best structure of this formula in the dataset (meV/atom) = 0
! - N(E_F) (states/eV/f.u.) = 5.31
! - crystal system = cubic

! PBE Ag5Rh3F12, relaxed; values from VASP
&SYSTEM
  ibrav = 0, nat = 80, ntyp = 3
/
ATOMIC_SPECIES
Rh 102.91 Rh.upf
Ag 107.87 Ag.upf
F 19.00 F.upf
CELL_PARAMETERS angstrom
11.7221 0.0000 0.0000
-3.9074 11.0517 0.0000
-3.9074 -5.5259 9.5711
ATOMIC_POSITIONS crystal
Rh 0.7500 0.3750 0.1250
Rh 0.8750 0.7500 0.1250
Rh 0.3750 0.7500 0.6250
Rh 0.2500 0.1250 0.3750
Rh 0.8750 0.1250 0.2500
Rh 0.3750 0.6250 0.2500
Rh 0.6250 0.3750 0.7500
Rh 0.1250 0.8750 0.7500
Rh 0.7500 0.8750 0.6250
Rh 0.6250 0.2500 0.3750
Rh 0.1250 0.2500 0.8750
Rh 0.2500 0.6250 0.8750
Ag 0.1250 0.3750 0.2500
Ag 0.0000 0.5000 0.0000
Ag 0.0000 0.0000 0.0000
Ag 0.3750 0.2500 0.1250
Ag 0.5000 0.0000 0.5000
Ag 0.5000 0.5000 0.0000
Ag 0.1250 0.7500 0.3750
Ag 0.7500 0.1250 0.8750
Ag 0.7500 0.6250 0.3750
Ag 0.3750 0.1250 0.7500
Ag 0.6250 0.8750 0.2500
Ag 0.5000 0.5000 0.5000
Ag 0.5000 0.0000 0.0000
Ag 0.0000 0.0000 0.5000
Ag 0.2500 0.3750 0.6250
Ag 0.2500 0.8750 0.1250
Ag 0.0000 0.5000 0.5000
Ag 0.8750 0.2500 0.6250
Ag 0.6250 0.7500 0.8750
Ag 0.8750 0.6250 0.7500
F 0.7404 0.1184 0.0816
F 0.3412 0.5816 0.4632
F 0.9184 0.3816 0.2596
F 0.5816 0.2404 0.1184
F 0.6220 0.7404 0.6588
F 0.9184 0.5368 0.1588
F 0.3412 0.7596 0.3780
F 0.0368 0.8780 0.1184
F 0.5368 0.9184 0.6588
F 0.7404 0.6220 0.1588
F 0.7596 0.4184 0.3816
F 0.8412 0.9632 0.0816
F 0.1184 0.7404 0.5816
F 0.3816 0.4632 0.1220
F 0.1220 0.9632 0.3816
F 0.3780 0.1184 0.5368
F 0.1220 0.1588 0.2404
F 0.4184 0.6588 0.0368
F 0.8412 0.8780 0.2596
F 0.1184 0.3780 0.0368
F 0.3816 0.9184 0.7596
F 0.5368 0.6184 0.3780
F 0.9632 0.8412 0.5816
F 0.7596 0.3412 0.8780
F 0.4632 0.3816 0.6220
F 0.0368 0.1588 0.4184
F 0.2404 0.6588 0.1220
F 0.1588 0.1220 0.7404
F 0.6184 0.0816 0.2404
F 0.8816 0.6220 0.9632
F 0.5816 0.3412 0.9632
F 0.6220 0.8816 0.4632
F 0.8780 0.8412 0.7596
F 0.8780 0.0368 0.6184
F 0.8816 0.2596 0.4184
F 0.1588 0.0368 0.9184
F 0.6184 0.5368 0.8780
F 0.4632 0.0816 0.3412
F 0.2596 0.3780 0.8412
F 0.2404 0.5816 0.6184
F 0.9632 0.1220 0.8816
F 0.6588 0.2404 0.6220
F 0.4184 0.7596 0.8816
F 0.0816 0.4632 0.8412
F 0.3780 0.2596 0.3412
F 0.0816 0.6184 0.7404
F 0.6588 0.4184 0.5368
F 0.2596 0.8816 0.9184
! - N(E_F) (states/eV/f.u.) = 12.96
! - crystal system = cubic

! PBE Ag3Rh5F12, relaxed; values from VASP
&SYSTEM
  ibrav = 0, nat = 80, ntyp = 3
/
ATOMIC_SPECIES
Ag 107.87 Ag.upf
Rh 102.91 Rh.upf
F 19.00 F.upf
CELL_PARAMETERS angstrom
-1.2346 11.6914 -0.0499
0.0216 -3.8911 11.0939
10.1466 -2.8913 -5.1867
ATOMIC_POSITIONS crystal
Ag 0.7500 0.3750 0.1250
Ag 0.8750 0.7500 0.1250
Ag 0.3750 0.7500 0.6250
Ag 0.2500 0.1250 0.3750
Ag 0.8750 0.1250 0.2500
Ag 0.3750 0.6250 0.2500
Ag 0.6250 0.3750 0.7500
Ag 0.1250 0.8750 0.7500
Ag 0.7500 0.8750 0.6250
Ag 0.6250 0.2500 0.3750
Ag 0.1250 0.2500 0.8750
Ag 0.2500 0.6250 0.8750
Rh 0.1250 0.3750 0.2500
Rh 0.0000 0.5000 0.0000
Rh 0.0000 0.0000 0.0000
Rh 0.3750 0.2500 0.1250
Rh 0.5000 0.0000 0.5000
Rh 0.5000 0.5000 0.0000
Rh 0.1250 0.7500 0.3750
Rh 0.7500 0.1250 0.8750
Rh 0.7500 0.6250 0.3750
Rh 0.3750 0.1250 0.7500
Rh 0.6250 0.8750 0.2500
Rh 0.5000 0.5000 0.5000
Rh 0.5000 0.0000 0.0000
Rh 0.0000 0.0000 0.5000
Rh 0.2500 0.3750 0.6250
Rh 0.2500 0.8750 0.1250
Rh 0.0000 0.5000 0.5000
Rh 0.8750 0.2500 0.6250
Rh 0.6250 0.7500 0.8750
Rh 0.8750 0.6250 0.7500
F 0.6983 0.0952 0.0321
F 0.3338 0.5321 0.4369
F 0.9679 0.4048 0.3017
F 0.5321 0.1983 0.0952
F 0.6031 0.6983 0.6662
F 0.9679 0.5631 0.1662
F 0.3338 0.8017 0.3969
F 0.0631 0.8969 0.0952
F 0.5631 0.9679 0.6662
F 0.6983 0.6031 0.1662
F 0.8017 0.4679 0.4048
F 0.8338 0.9369 0.0321
F 0.0952 0.6983 0.5321
F 0.4048 0.4369 0.1031
F 0.1031 0.9369 0.4048
F 0.3969 0.0952 0.5631
F 0.1031 0.1662 0.1983
F 0.4679 0.6662 0.0631
F 0.8338 0.8969 0.3017
F 0.0952 0.3969 0.0631
F 0.4048 0.9679 0.8017
F 0.5631 0.5952 0.3969
F 0.9369 0.8338 0.5321
F 0.8017 0.3338 0.8969
F 0.4369 0.4048 0.6031
F 0.0631 0.1662 0.4679
F 0.1983 0.6662 0.1031
F 0.1662 0.1031 0.6983
F 0.5952 0.0321 0.1983
F 0.9048 0.6031 0.9369
F 0.5321 0.3338 0.9369
F 0.6031 0.9048 0.4369
F 0.8969 0.8338 0.8017
F 0.8969 0.0631 0.5952
F 0.9048 0.3017 0.4679
F 0.1662 0.0631 0.9679
F 0.5952 0.5631 0.8969
F 0.4369 0.0321 0.3338
F 0.3017 0.3969 0.8338
F 0.1983 0.5321 0.5952
F 0.9369 0.1031 0.9048
F 0.6662 0.1983 0.6031
F 0.4679 0.8017 0.9048
F 0.0321 0.4369 0.8338
F 0.3969 0.3017 0.3338
F 0.0321 0.5952 0.6983
F 0.6662 0.4679 0.5631
F 0.3017 0.9048 0.9679
! - N(E_F) (states/eV/f.u.) = 14.18
! - crystal system = cubic

! PBE Ag3RhF8, relaxed; values from VASP
&SYSTEM
  ibrav = 0, nat = 12, ntyp = 3
/
ATOMIC_SPECIES
Ag 107.87 Ag.upf
Rh 102.91 Rh.upf
F 19.00 F.upf
CELL_PARAMETERS angstrom
6.1763 -0.4590 0.0000
-3.3015 5.2401 0.0000
0.0000 0.0000 6.9069
ATOMIC_POSITIONS crystal
Ag 0.0000 0.5000 0.2466
Ag 0.5000 0.5000 0.0000
Ag 0.5000 0.0000 0.7534
Rh 0.5000 0.5000 0.5000
F 0.6803 0.3197 0.5000
F 0.6924 0.3076 0.0000
F 0.7301 0.7426 0.7090
F 0.7426 0.7301 0.2910
F 0.2574 0.2699 0.2910
F 0.2699 0.2574 0.7090
F 0.3076 0.6924 0.0000
F 0.3197 0.6803 0.5000
! - excess energy over the best structure of this formula in the dataset (meV/atom) = 0
! - N(E_F) (states/eV/f.u.) = 8.61
! - crystal system = orthorhombic

Values for raw formation energy, eV per atom, ordered as above
0.976 -1.285 -1.186 0.417 0.348 -0.942 -0.842 -1.281